Entry 1:
Computed, not measured: crystalline LiPPd4 at its relaxed geometry at the GGA-PBE level of DFT.

Values from the calculation:
* calculated volume: 14.45 Å³ per atom
* ΔE_f: -2.7 eV per formula unit
* distance to the lowest polymorph of the same formula: 8 meV per atom
* crystal system: monoclinic
* space group: C2/c (15)

Lattice parameters (Å, degrees): 6.388 10.711 5.529 119.58 77.37 145.30
Element x y z (fractional)
Pd 0.419 0.883 0.132
Pd 0.050 0.166 0.577
Pd 0.950 0.834 0.423
Li 0.312 0.562 0.124
P 0.395 0.145 0.290
Pd 0.027 0.411 0.577
P 0.605 0.855 0.710
Li 0.688 0.438 0.876
Pd 0.581 0.117 0.868
Pd 0.214 0.250 0.132
Pd 0.973 0.589 0.423
Pd 0.786 0.750 0.868

Entry 2:
Computed, not measured: crystalline Li3PPd at its relaxed geometry at the GGA-PBE level of DFT.

Values from the calculation:
* calculated volume: 15.36 Å³ per atom
* ΔE_f: -3.0 eV per formula unit
* distance to the lowest polymorph of the same formula: 0 meV per atom
* crystal system: triclinic
* space group: P-1 (2)

Lattice parameters (Å, degrees): 6.049 7.002 5.003 86.96 109.11 128.44
Element x y z (fractional)
Li 0.969 0.841 0.734
Li 0.094 0.221 0.266
P 0.564 0.768 0.298
Li 0.435 0.629 0.760
Pd 0.032 0.532 0.000
P 0.500 0.296 0.702
Pd 0.532 0.032 0.000
Li 0.628 0.434 0.240
Li 0.814 0.173 0.613
Li 0.249 0.891 0.387

Entry 3:
Computed, not measured: crystalline LiPPd at its relaxed geometry at the GGA-PBE level of DFT.

Values from the calculation:
* calculated volume: 15.45 Å³ per atom
* ΔE_f: -1.7 eV per formula unit
* crystal system: orthorhombic
* space group: Cmc2_1 (36)

Lattice parameters (Å, degrees): 6.140 6.759 5.286 122.32 90.00 90.00
Element x y z (fractional)
Pd 0.156 0.510 0.971
Pd 0.156 0.010 0.471
P 0.387 0.192 0.923
P 0.387 0.692 0.423
Li 0.458 0.340 0.478
Pd 0.656 0.490 0.029
Li 0.958 0.160 0.022
Li 0.458 0.840 0.978
Pd 0.656 0.990 0.529
Li 0.958 0.660 0.522
P 0.887 0.808 0.077
P 0.887 0.308 0.577

Entry 4:
Computed, not measured: crystalline LiPPd at its relaxed geometry at the GGA-PBE level of DFT.

Values from the calculation:
* calculated volume: 15.96 Å³ per atom
* ΔE_f: -1.0 eV per formula unit
* crystal system: orthorhombic
* space group: Immm (71)

Lattice parameters (Å, degrees): 3.587 5.372 5.927 116.95 107.62 90.00
Element x y z (fractional)
Pd 0.000 0.250 0.000
Li 0.314 0.314 0.627
P 0.615 0.115 0.229
Li 0.686 0.686 0.373
Pd 0.000 0.750 0.000
P 0.385 0.885 0.771

What did the fourth record say?
Computed, not measured: crystalline LiPPd at its relaxed geometry at the GGA-PBE level of DFT.

Values from the calculation:
* calculated volume: 15.96 Å³ per atom
* ΔE_f: -1.0 eV per formula unit
* crystal system: orthorhombic
* space group: Immm (71)

Lattice parameters (Å, degrees): 3.587 5.372 5.927 116.95 107.62 90.00
Element x y z (fractional)
Pd 0.000 0.250 0.000
Li 0.314 0.314 0.627
P 0.615 0.115 0.229
Li 0.686 0.686 0.373
Pd 0.000 0.750 0.000
P 0.385 0.885 0.771